A geometry-optimized Tc2SbTe structure. Source: the Alexandria database, functional PBE-GGA.

Calculated values
Density ... 8.37 g/cm3
E above lowest polymorph ... 181 meV per atom
DOS at the Fermi energy ... 0.754 states/eV/atom
Crystal system ... trigonal

Lattice parameters (Å, degrees): 3.1137 3.1137 31.5646 90.00 90.00 120.00
Space group R3m (No. 160, hexagonal axes)
Asymmetric unit:
Tc1 0.0000 0.0000 0.0000 [3 per cell]
Tc2 0.0000 0.0000 0.2685 [3 per cell]
Sb1 0.0000 0.0000 0.7333 [3 per cell]
Te1 0.0000 0.0000 0.5361 [3 per cell]